(1)
A plane-wave DFT calculation with PBE was carried out for V2Os2Pd after structural relaxation.

Computed properties:
The value obtained for the electronic total energy is -9.18 eV per atom. The energy of formation from the pure elements comes out at -0.01 eV per formula unit. The distance to the lowest polymorph of the same formula is 0.035 eV per atom.

a b c (Å): 7.233 7.233 2.824
angles (deg): 90.00 90.00 90.00
Positions (direct):
V1 0.147 0.353 0.000
V2 0.353 0.853 0.000
V3 0.647 0.147 0.000
V4 0.853 0.647 0.000
Os1 0.149 0.649 0.500
Os2 0.351 0.149 0.500
Os3 0.649 0.851 0.500
Os4 0.851 0.351 0.500
Pd1 0.000 0.000 0.000
Pd2 0.500 0.500 0.000



(2)
A plane-wave DFT calculation with PBE was carried out for KLi3Hg after structural relaxation.

Computed properties:
The value obtained for the electronic total energy is -0.80 eV per atom. The energy of formation from the pure elements comes out at 3.13 eV per formula unit. The distance to the lowest polymorph of the same formula is 0.682 eV per atom.

a b c (Å): 5.687 5.687 5.687
angles (deg): 90.00 90.00 90.00
Positions (direct):
K1 0.000 0.000 0.000
Li1 0.000 0.000 0.500
Li2 0.000 0.500 0.000
Li3 0.500 0.000 0.000
Hg1 0.500 0.500 0.500



(3)
A plane-wave DFT calculation with PBE was carried out for Zn2AgMo after structural relaxation.

Computed properties:
The value obtained for the electronic total energy is -3.63 eV per atom. The energy of formation from the pure elements comes out at 1.70 eV per formula unit. The distance to the lowest polymorph of the same formula is 0.376 eV per atom.

a b c (Å): 4.488 4.488 4.488
angles (deg): 60.00 60.00 60.00
Positions (direct):
Zn1 0.000 0.000 0.000
Zn2 0.250 0.250 0.250
Ag1 0.500 0.500 0.500
Mo1 0.750 0.750 0.750



(4)
A plane-wave DFT calculation with PBE was carried out for Tb2TmI after structural relaxation.

Computed properties:
The value obtained for the electronic total energy is -4.11 eV per atom. The distance to the lowest polymorph of the same formula is 0.064 eV per atom.

a b c (Å): 3.626 3.626 9.461
angles (deg): 90.00 90.00 90.00
Positions (direct):
Tb1 0.000 0.000 0.246
Tb2 0.000 0.000 0.754
Tm1 0.500 0.500 0.500
I1 0.500 0.500 0.000



(5)
A plane-wave DFT calculation with PBE was carried out for NaPr2NdTl4 after structural relaxation.

Computed properties:
The value obtained for the electronic total energy is -3.47 eV per atom. The energy of formation from the pure elements comes out at -2.65 eV per formula unit.

a b c (Å): 9.686 9.686 9.686
angles (deg): 32.72 32.72 32.72
Positions (direct):
Na1 0.000 0.000 0.000
Pr1 0.256 0.256 0.256
Pr2 0.744 0.744 0.744
Nd1 0.500 0.500 0.500
Tl1 0.125 0.125 0.125
Tl2 0.376 0.376 0.376
Tl3 0.624 0.624 0.624
Tl4 0.875 0.875 0.875



(6)
A plane-wave DFT calculation with PBE was carried out for KTiGaF6 after structural relaxation.

Computed properties:
The value obtained for the electronic total energy is -5.52 eV per atom.

a b c (Å): 4.889 5.773 5.775
angles (deg): 64.10 86.05 86.20
Positions (direct):
K1 0.000 0.000 0.000
Ti1 0.686 0.650 0.651
Ga1 0.371 0.357 0.356
F1 0.400 0.785 0.787
F2 0.508 0.326 0.755
F3 0.510 0.755 0.327
F4 0.864 0.509 0.960
F5 0.865 0.959 0.512
F6 0.978 0.503 0.503